Here is an optimized crystal structure of Ac2TbPa from the Alexandria database. Energies are from PBE-GGA.

Cell: 5.902 5.902 5.902 Å, 60.00 60.00 60.00°
Atoms (fractional coordinates):
Ac (0.250, 0.250, 0.250)
Ac (0.750, 0.750, 0.750)
Tb (0.000, 0.000, 0.000)
Pa (0.500, 0.500, 0.500)

Calculated values
- mass density (g cm⁻³) = 9.64
- calculated volume (Å³/cell) = 145.4
- energy relative to the elements (eV/atom) = 0.4899